# 1
DFT (GGA-PBE) results for ScNbS2Cl after structural relaxation.

Values from the calculation:
The polymorph energy (0 for the lowest one) comes out at 0.82 eV per formula unit. Its density of states at the Fermi level is 0.90 states/eV per atom. Its final energy is -5.68 eV per atom. Its formation energy from raw total energies is -0.382 eV per atom.

a = 4.959 Å, b = 4.959 Å, c = 4.696 Å
α = 90.00°, β = 90.00°, γ = 90.00°
Fractional coordinates of all 5 atoms:
Sc 0.000 0.000 0.000
Nb 0.500 0.500 0.500
S 0.000 0.500 0.000
S 0.500 0.000 0.000
Cl 0.000 0.000 0.500

***

# 2
DFT (GGA-PBE) results for Ag7SnHg3 after structural relaxation.

Values from the calculation:
For the formation energy, the calculation gives 0.147 eV per atom. Its density of states at the Fermi level is 0.37 states/eV per atom. Its final energy is -2.11 eV per atom.

a = 7.001 Å, b = 7.001 Å, c = 5.503 Å
α = 108.34°, β = 108.34°, γ = 90.23°
Fractional coordinates of all 11 atoms:
Ag 0.000 0.000 0.000
Ag 0.079 0.567 0.320
Ag 0.279 0.279 0.957
Ag 0.433 0.921 0.680
Ag 0.567 0.079 0.320
Ag 0.721 0.721 0.043
Ag 0.921 0.433 0.680
Sn 0.000 0.000 0.500
Hg 0.295 0.705 0.000
Hg 0.500 0.500 0.500
Hg 0.705 0.295 0.000

***

# 3
DFT (GGA-PBE) results for TmZrCdPb after structural relaxation.

Values from the calculation:
For the formation energy, the calculation gives -0.139 eV per atom. Its density of states at the Fermi level is 0.98 states/eV per atom. Its final energy is -4.55 eV per atom.

a = 7.308 Å, b = 7.308 Å, c = 7.308 Å
α = 90.00°, β = 90.00°, γ = 90.00°
Fractional coordinates of all 16 atoms:
Tm 0.000 0.000 0.000
Tm 0.000 0.500 0.500
Tm 0.500 0.000 0.500
Tm 0.500 0.500 0.000
Zr 0.000 0.000 0.500
Zr 0.000 0.500 0.000
Zr 0.500 0.000 0.000
Zr 0.500 0.500 0.500
Cd 0.250 0.250 0.750
Cd 0.250 0.750 0.250
Cd 0.750 0.250 0.250
Cd 0.750 0.750 0.750
Pb 0.250 0.250 0.250
Pb 0.250 0.750 0.750
Pb 0.750 0.250 0.750
Pb 0.750 0.750 0.250

***

# 4
DFT (GGA-PBE) results for CaNiPb2 after structural relaxation.

Values from the calculation:
For the formation energy, the calculation gives -0.001 eV per atom. Its density of states at the Fermi level is 0.74 states/eV per atom. Its final energy is -3.80 eV per atom.

a = 6.549 Å, b = 6.564 Å, c = 4.501 Å
α = 90.00°, β = 90.14°, γ = 90.00°
Fractional coordinates of all 8 atoms:
Ca 0.000 0.000 0.000
Ca 0.500 0.500 0.000
Ni 0.000 0.500 0.000
Ni 0.500 0.000 0.000
Pb 0.250 0.250 0.500
Pb 0.250 0.750 0.500
Pb 0.750 0.250 0.500
Pb 0.750 0.750 0.500

***

# 5
DFT (GGA-PBE) results for Ba2NiHgPb6 after structural relaxation.

Values from the calculation:
For the formation energy, the calculation gives -0.171 eV per atom. Its density of states at the Fermi level is 0.61 states/eV per atom. Its final energy is -3.39 eV per atom.

a = 15.093 Å, b = 15.093 Å, c = 15.093 Å
α = 28.19°, β = 28.19°, γ = 28.19°
Fractional coordinates of all 20 atoms:
Ba 0.112 0.112 0.112
Ba 0.280 0.280 0.280
Ba 0.720 0.720 0.720
Ba 0.888 0.888 0.888
Ni 0.000 0.000 0.000
Ni 0.500 0.500 0.500
Hg 0.424 0.424 0.424
Hg 0.576 0.576 0.576
Pb 0.102 0.654 0.654
Pb 0.211 0.211 0.673
Pb 0.211 0.673 0.211
Pb 0.327 0.789 0.789
Pb 0.346 0.346 0.898
Pb 0.346 0.898 0.346
Pb 0.654 0.102 0.654
Pb 0.654 0.654 0.102
Pb 0.673 0.211 0.211
Pb 0.789 0.327 0.789
Pb 0.789 0.789 0.327
Pb 0.898 0.346 0.346

***

# 6
DFT (GGA-PBE) results for RbLaCd17 after structural relaxation.

Values from the calculation:
For the formation energy, the calculation gives -0.111 eV per atom. Its density of states at the Fermi level is 0.38 states/eV per atom. Its final energy is -1.24 eV per atom.

a = 7.813 Å, b = 7.813 Å, c = 7.813 Å
α = 82.57°, β = 82.57°, γ = 82.57°
Fractional coordinates of all 19 atoms:
Rb 0.000 0.000 0.000
La 0.671 0.671 0.671
Cd 0.040 0.340 0.633
Cd 0.040 0.633 0.340
Cd 0.195 0.689 0.689
Cd 0.243 0.243 0.243
Cd 0.331 0.331 0.846
Cd 0.331 0.846 0.331
Cd 0.340 0.040 0.633
Cd 0.340 0.633 0.040
Cd 0.443 0.443 0.443
Cd 0.513 0.974 0.974
Cd 0.633 0.040 0.340
Cd 0.633 0.340 0.040
Cd 0.689 0.195 0.689
Cd 0.689 0.689 0.195
Cd 0.846 0.331 0.331
Cd 0.974 0.513 0.974
Cd 0.974 0.974 0.513

***

# 7
DFT (GGA-PBE) results for CdSiBr2 after structural relaxation.

Values from the calculation:
The polymorph energy (0 for the lowest one) comes out at 1.78 eV per formula unit. Its density of states at the Fermi level is 0.51 states/eV per atom. Its final energy is -2.14 eV per atom. Its formation energy from raw total energies is 0.278 eV per atom.

a = 7.329 Å, b = 7.329 Å, c = 7.329 Å
α = 90.00°, β = 90.00°, γ = 90.00°
Fractional coordinates of all 16 atoms:
Cd 0.000 0.000 0.000
Cd 0.000 0.500 0.500
Cd 0.500 0.000 0.500
Cd 0.500 0.500 0.000
Si 0.000 0.000 0.500
Si 0.000 0.500 0.000
Si 0.500 0.000 0.000
Si 0.500 0.500 0.500
Br 0.250 0.250 0.250
Br 0.250 0.250 0.750
Br 0.250 0.750 0.250
Br 0.250 0.750 0.750
Br 0.750 0.250 0.250
Br 0.750 0.250 0.750
Br 0.750 0.750 0.250
Br 0.750 0.750 0.750

***

# 8
DFT (GGA-PBE) results for Co3PtSe8 after structural relaxation.

Values from the calculation:
Its density of states at the Fermi level is 0.72 states/eV per atom. Its final energy is -4.90 eV per atom. Its formation energy from raw total energies is -0.298 eV per atom.

a = 6.243 Å, b = 6.243 Å, c = 8.024 Å
α = 121.00°, β = 121.00°, γ = 70.34°
Fractional coordinates of all 12 atoms:
Co 0.000 0.000 0.000
Co 0.000 0.500 0.500
Co 0.500 0.000 0.500
Pt 0.500 0.500 0.000
Se 0.028 0.553 0.827
Se 0.049 0.049 0.335
Se 0.446 0.446 0.648
Se 0.447 0.972 0.173
Se 0.553 0.028 0.827
Se 0.554 0.554 0.352
Se 0.951 0.951 0.665
Se 0.972 0.447 0.173

***

# 9
DFT (GGA-PBE) results for USbRhAu after structural relaxation.

Values from the calculation:
Its density of states at the Fermi level is 1.82 states/eV per atom. Its final energy is -6.75 eV per atom. Its formation energy from raw total energies is -0.240 eV per atom.

a = 6.889 Å, b = 6.889 Å, c = 6.889 Å
α = 90.00°, β = 90.00°, γ = 90.00°
Fractional coordinates of all 16 atoms:
U 0.000 0.000 0.000
U 0.000 0.500 0.500
U 0.500 0.000 0.500
U 0.500 0.500 0.000
Sb 0.000 0.000 0.500
Sb 0.000 0.500 0.000
Sb 0.500 0.000 0.000
Sb 0.500 0.500 0.500
Rh 0.250 0.250 0.750
Rh 0.250 0.750 0.250
Rh 0.750 0.250 0.250
Rh 0.750 0.750 0.750
Au 0.250 0.250 0.250
Au 0.250 0.750 0.750
Au 0.750 0.250 0.750
Au 0.750 0.750 0.250

***

# 10
DFT (GGA-PBE) results for PrMg4Sc3 after structural relaxation.

Values from the calculation:
For the formation energy, the calculation gives -0.040 eV per atom. Its density of states at the Fermi level is 1.29 states/eV per atom. Its final energy is -3.81 eV per atom.

a = 10.375 Å, b = 7.395 Å, c = 5.186 Å
α = 90.00°, β = 90.00°, γ = 90.00°
Fractional coordinates of all 16 atoms:
Pr 0.000 0.000 0.000
Pr 0.500 0.000 0.000
Mg 0.000 0.265 0.500
Mg 0.000 0.735 0.500
Mg 0.250 0.265 0.005
Mg 0.250 0.735 0.005
Mg 0.500 0.265 0.500
Mg 0.500 0.735 0.500
Mg 0.750 0.265 0.995
Mg 0.750 0.735 0.995
Sc 0.000 0.500 0.000
Sc 0.250 0.000 0.504
Sc 0.250 0.500 0.505
Sc 0.500 0.500 0.000
Sc 0.750 0.000 0.496
Sc 0.750 0.500 0.495

***

# 11
DFT (GGA-PBE) results for Sm8DyHo4 after structural relaxation.

Values from the calculation:
For the formation energy, the calculation gives 0.238 eV per atom. Its density of states at the Fermi level is 1.50 states/eV per atom. Its final energy is -4.43 eV per atom.

a = 7.285 Å, b = 7.285 Å, c = 8.436 Å
α = 97.40°, β = 97.40°, γ = 89.85°
Fractional coordinates of all 13 atoms:
Sm 0.180 0.180 0.659
Sm 0.180 0.695 0.693
Sm 0.272 0.272 0.252
Sm 0.305 0.820 0.307
Sm 0.695 0.180 0.693
Sm 0.728 0.728 0.748
Sm 0.820 0.305 0.307
Sm 0.820 0.820 0.341
Dy 0.500 0.500 0.500
Ho 0.000 0.000 0.000
Ho 0.000 0.500 0.000
Ho 0.500 0.000 0.000
Ho 0.500 0.500 0.000

***

# 12
DFT (GGA-PBE) results for Sm12Ru3C5 after structural relaxation.

Values from the calculation:
For the formation energy, the calculation gives -0.025 eV per atom. Its density of states at the Fermi level is 0.43 states/eV per atom. Its final energy is -6.55 eV per atom.

a = 13.613 Å, b = 13.613 Å, c = 13.613 Å
α = 109.47°, β = 109.47°, γ = 109.47°
Fractional coordinates of all 80 atoms:
Sm 0.030 0.208 0.128
Sm 0.030 0.322 0.902
Sm 0.081 0.708 0.678
Sm 0.081 0.872 0.402
Sm 0.098 0.628 0.419
Sm 0.098 0.970 0.678
Sm 0.128 0.030 0.208
Sm 0.128 0.598 0.919
Sm 0.178 0.208 0.581
Sm 0.178 0.470 0.598
Sm 0.208 0.128 0.030
Sm 0.208 0.581 0.178
Sm 0.292 0.322 0.919
Sm 0.292 0.470 0.372
Sm 0.322 0.902 0.030
Sm 0.322 0.919 0.292
Sm 0.372 0.292 0.470
Sm 0.372 0.581 0.902
Sm 0.402 0.081 0.872
Sm 0.402 0.822 0.530
Sm 0.419 0.098 0.628
Sm 0.419 0.822 0.792
Sm 0.470 0.372 0.292
Sm 0.470 0.598 0.178
Sm 0.530 0.402 0.822
Sm 0.530 0.628 0.708
Sm 0.581 0.178 0.208
Sm 0.581 0.902 0.372
Sm 0.598 0.178 0.470
Sm 0.598 0.919 0.128
Sm 0.628 0.419 0.098
Sm 0.628 0.708 0.530
Sm 0.678 0.081 0.708
Sm 0.678 0.098 0.970
Sm 0.708 0.530 0.628
Sm 0.708 0.678 0.081
Sm 0.792 0.419 0.822
Sm 0.792 0.872 0.970
Sm 0.822 0.530 0.402
Sm 0.822 0.792 0.419
Sm 0.872 0.402 0.081
Sm 0.872 0.970 0.792
Sm 0.902 0.030 0.322
Sm 0.902 0.372 0.581
Sm 0.919 0.128 0.598
Sm 0.919 0.292 0.322
Sm 0.970 0.678 0.098
Sm 0.970 0.792 0.872
Ru 0.125 0.250 0.375
Ru 0.125 0.375 0.750
Ru 0.250 0.375 0.125
Ru 0.250 0.875 0.625
Ru 0.375 0.125 0.250
Ru 0.375 0.750 0.125
Ru 0.625 0.250 0.875
Ru 0.625 0.875 0.750
Ru 0.750 0.125 0.375
Ru 0.750 0.625 0.875
Ru 0.875 0.625 0.250
Ru 0.875 0.750 0.625
C 0.000 0.000 0.000
C 0.000 0.000 0.500
C 0.000 0.500 0.000
C 0.000 0.500 0.500
C 0.125 0.750 0.875
C 0.125 0.875 0.250
C 0.250 0.125 0.875
C 0.250 0.625 0.375
C 0.375 0.250 0.625
C 0.375 0.625 0.750
C 0.500 0.000 0.000
C 0.500 0.000 0.500
C 0.500 0.500 0.000
C 0.500 0.500 0.500
C 0.625 0.375 0.250
C 0.625 0.750 0.375
C 0.750 0.375 0.625
C 0.750 0.875 0.125
C 0.875 0.125 0.750
C 0.875 0.250 0.125

***

# 13
DFT (GGA-PBE) results for Ba2SmCdTe5 after structural relaxation.

Values from the calculation:
Its density of states at the Fermi level is 0.66 states/eV per atom. Its final energy is -4.04 eV per atom. Its formation energy from raw total energies is -1.245 eV per atom.

a = 10.494 Å, b = 10.494 Å, c = 14.139 Å
α = 90.00°, β = 90.00°, γ = 154.47°
Fractional coordinates of all 18 atoms:
Ba 0.117 0.883 0.500
Ba 0.127 0.873 0.131
Ba 0.873 0.127 0.631
Ba 0.883 0.117 0.000
Sm 0.206 0.794 0.828
Sm 0.794 0.206 0.328
Cd 0.442 0.558 0.253
Cd 0.558 0.442 0.753
Te 0.051 0.949 0.870
Te 0.293 0.707 0.478
Te 0.307 0.693 0.174
Te 0.356 0.644 0.819
Te 0.496 0.504 0.577
Te 0.504 0.496 0.077
Te 0.644 0.356 0.319
Te 0.693 0.307 0.674
Te 0.707 0.293 0.978
Te 0.949 0.051 0.370

***

# 14
DFT (GGA-PBE) results for ZrBiP3 after structural relaxation.

Values from the calculation:
The polymorph energy (0 for the lowest one) comes out at 0.00 eV per formula unit. For the formation energy, the calculation gives 0.345 eV per atom. Its density of states at the Fermi level is 0.96 states/eV per atom. Its final energy is -5.39 eV per atom.

a = 5.028 Å, b = 5.028 Å, c = 5.028 Å
α = 90.00°, β = 90.00°, γ = 90.00°
Fractional coordinates of all 5 atoms:
Zr 0.000 0.000 0.000
Bi 0.500 0.500 0.500
P 0.000 0.000 0.500
P 0.000 0.500 0.000
P 0.500 0.000 0.000

***

# 15
DFT (GGA-PBE) results for Ba2MgTa after structural relaxation.

Values from the calculation:
For the formation energy, the calculation gives 0.847 eV per atom. Its density of states at the Fermi level is 0.89 states/eV per atom. Its final energy is -3.48 eV per atom.

a = 3.507 Å, b = 3.507 Å, c = 36.495 Å
α = 90.00°, β = 90.00°, γ = 120.00°
Fractional coordinates of all 12 atoms:
Ba 0.000 0.000 0.242
Ba 0.000 0.000 0.758
Ba 0.333 0.667 0.424
Ba 0.333 0.667 0.909
Ba 0.667 0.333 0.091
Ba 0.667 0.333 0.576
Mg 0.000 0.000 0.000
Mg 0.333 0.667 0.667
Mg 0.667 0.333 0.333
Ta 0.000 0.000 0.500
Ta 0.333 0.667 0.167
Ta 0.667 0.333 0.833

***

# 16
DFT (GGA-PBE) results for NiOsBr after structural relaxation.

Values from the calculation:
The polymorph energy (0 for the lowest one) comes out at 2.11 eV per formula unit. Its density of states at the Fermi level is 0.97 states/eV per atom. Its final energy is -4.68 eV per atom. Its formation energy from raw total energies is 1.552 eV per atom.

a = 6.011 Å, b = 6.011 Å, c = 6.011 Å
α = 90.00°, β = 90.00°, γ = 90.00°
Fractional coordinates of all 12 atoms:
Ni 0.000 0.000 0.000
Ni 0.000 0.500 0.500
Ni 0.500 0.000 0.500
Ni 0.500 0.500 0.000
Os 0.250 0.250 0.250
Os 0.250 0.750 0.750
Os 0.750 0.250 0.750
Os 0.750 0.750 0.250
Br 0.250 0.250 0.750
Br 0.250 0.750 0.250
Br 0.750 0.250 0.250
Br 0.750 0.750 0.750

***

# 17
DFT (GGA-PBE) results for CsLa2Nb2 after structural relaxation.

Values from the calculation:
For the formation energy, the calculation gives 1.042 eV per atom. Its density of states at the Fermi level is 1.30 states/eV per atom. Its final energy is -5.13 eV per atom.

a = 6.033 Å, b = 6.033 Å, c = 9.535 Å
α = 90.00°, β = 90.00°, γ = 90.00°
Fractional coordinates of all 10 atoms:
Cs 0.000 0.000 0.000
Cs 0.500 0.500 0.500
La 0.000 0.500 0.250
La 0.000 0.500 0.750
La 0.500 0.000 0.250
La 0.500 0.000 0.750
Nb 0.000 0.000 0.381
Nb 0.000 0.000 0.619
Nb 0.500 0.500 0.119
Nb 0.500 0.500 0.881

***

# 18
DFT (GGA-PBE) results for HoCd12 after structural relaxation.

Values from the calculation:
For the formation energy, the calculation gives -0.062 eV per atom. Its density of states at the Fermi level is 0.17 states/eV per atom. Its final energy is -1.26 eV per atom.

a = 7.628 Å, b = 7.628 Å, c = 7.628 Å
α = 98.91°, β = 98.91°, γ = 133.65°
Fractional coordinates of all 13 atoms:
Ho 0.000 0.000 0.000
Cd 0.000 0.000 0.500
Cd 0.000 0.350 0.350
Cd 0.000 0.500 0.000
Cd 0.000 0.650 0.650
Cd 0.288 0.500 0.788
Cd 0.350 0.000 0.350
Cd 0.500 0.000 0.000
Cd 0.500 0.288 0.788
Cd 0.500 0.500 0.500
Cd 0.500 0.712 0.212
Cd 0.650 0.000 0.650
Cd 0.712 0.500 0.212

***

# 19
DFT (GGA-PBE) results for Sc3TeBr after structural relaxation.

Values from the calculation:
The polymorph energy (0 for the lowest one) comes out at 0.00 eV per formula unit. Its density of states at the Fermi level is 1.16 states/eV per atom. Its final energy is -4.91 eV per atom. Its formation energy from raw total energies is -0.149 eV per atom.

a = 4.997 Å, b = 4.997 Å, c = 4.997 Å
α = 90.00°, β = 90.00°, γ = 90.00°
Fractional coordinates of all 5 atoms:
Sc 0.000 0.000 0.500
Sc 0.000 0.500 0.000
Sc 0.500 0.000 0.000
Te 0.500 0.500 0.500
Br 0.000 0.000 0.000

***

# 20
DFT (GGA-PBE) results for RbTbTlSe3 after structural relaxation.

Values from the calculation:
Its density of states at the Fermi level is 0.46 states/eV per atom. Its final energy is -4.24 eV per atom. Its formation energy from raw total energies is -1.174 eV per atom.

a = 8.997 Å, b = 4.211 Å, c = 11.348 Å
α = 90.00°, β = 107.77°, γ = 90.00°
Fractional coordinates of all 12 atoms:
Rb 0.223 0.250 0.259
Rb 0.777 0.750 0.741
Tb 0.353 0.750 0.857
Tb 0.647 0.250 0.143
Tl 0.134 0.250 0.578
Tl 0.866 0.750 0.422
Se 0.116 0.250 0.817
Se 0.344 0.750 0.592
Se 0.420 0.750 0.118
Se 0.580 0.250 0.882
Se 0.656 0.250 0.408
Se 0.884 0.750 0.183